Computed, not measured: a geometry-optimized Co2PtW structure at the PBE level of DFT.

Cell and atoms, written as POSCAR:
```
Co2PtW
1.0
2.690 0.000 0.000
0.000 2.690 0.000
0.000 0.000 7.354
Co Pt W
2 1 1
Cartesian
0.000 0.000 1.818 Co
0.000 0.000 5.537 Co
1.345 1.345 3.677 Pt
1.345 1.345 0.000 W
```

SG: P4/mmm, No. 123
Energy above the most stable polymorph in this dataset, eV/atom: 0.1481
Energy of formation from the pure elements, eV per atom: 0.03

Computed, not measured: a geometry-optimized YThRuPt structure at the PBE level of DFT.

Cell and atoms, written as POSCAR:
```
YThRuPt
1.0
0.000 3.532 3.532
3.532 0.000 3.532
3.532 3.532 0.000
Y Th Ru Pt
1 1 1 1
Cartesian
0.000 0.000 0.000 Y
3.532 3.532 3.532 Th
1.766 1.766 1.766 Ru
5.298 5.298 5.298 Pt
```

SG: F-43m, No. 216
Energy of formation from the pure elements, eV per atom: -0.73

Q: energy of formation from the pure elements of number 1 (Co2PtW)?
A: 0.03 eV per atom